Arrangement w

DFT (PBE) results for an optimized crystal structure of MgZn2Ge2.

a = 6.991 Å, b = 6.991 Å, c = 3.874 Å
α = 90.00°, β = 90.00°, γ = 90.00°
Element x y z (fractional)
Mg  0.000  0.000  0.000
Mg  0.500  0.500  0.000
Zn  0.176  0.324  0.500
Zn  0.324  0.824  0.500
Zn  0.676  0.176  0.500
Zn  0.824  0.676  0.500
Ge  0.129  0.629  0.000
Ge  0.371  0.129  0.000
Ge  0.629  0.871  0.000
Ge  0.871  0.371  0.000

Calculated values
The magnetic moment is 0.000 μB/f.u. As for the space-group type: P4/mbm (127).

---

Arrangement x

DFT (PBE) results for an optimized crystal structure of MgZn2Ge2.

a = 4.198 Å, b = 4.198 Å, c = 10.909 Å
α = 90.00°, β = 90.00°, γ = 90.00°
Element x y z (fractional)
Mg  0.000  0.000  0.000
Mg  0.500  0.500  0.500
Zn  0.000  0.500  0.250
Zn  0.000  0.500  0.750
Zn  0.500  0.000  0.250
Zn  0.500  0.000  0.750
Ge  0.000  0.000  0.387
Ge  0.000  0.000  0.613
Ge  0.500  0.500  0.113
Ge  0.500  0.500  0.887

Calculated values
The magnetic moment is 0.000 μB/f.u. As for the space-group type: I4/mmm (139).

---

Arrangement y

DFT (PBE) results for an optimized crystal structure of MgZn2Ge2.

a = 7.506 Å, b = 7.506 Å, c = 3.265 Å
α = 90.00°, β = 90.00°, γ = 90.00°
Element x y z (fractional)
Mg  0.000  0.000  0.000
Mg  0.500  0.500  0.000
Zn  0.122  0.378  0.000
Zn  0.378  0.878  0.000
Zn  0.622  0.122  0.000
Zn  0.878  0.622  0.000
Ge  0.180  0.680  0.500
Ge  0.320  0.180  0.500
Ge  0.680  0.820  0.500
Ge  0.820  0.320  0.500

Calculated values
The magnetic moment is 0.000 μB/f.u. As for the space-group type: P4/mbm (127).

---

Relative energies, in meV/atom, with the most stable structure set to zero: arrangement w 73; arrangement x 0; arrangement y 58.